# 1
Si3PbC | Alexandria via LeMat-Bulk | PBE | optimized geometry; final energy = -4.810 eV per atom; ΔE to the lowest computed polymorph = 0.000 eV per atom; total magnetic moment = 0.00 μB per cell
1.0
4.3264 0.0000 0.0000
0.0000 4.3264 0.0000
0.0000 0.0000 4.3264
Si C Pb
3 1 1
Cartesian
0.0000 0.0000 2.1632
2.1632 0.0000 0.0000
0.0000 2.1632 0.0000
0.0000 0.0000 0.0000
2.1632 2.1632 2.1632

# 2
Rb2ErBr5 | Alexandria via LeMat-Bulk | PBE | optimized geometry; final energy = -3.685 eV per atom; ΔE to the lowest computed polymorph = 0.000 eV per atom; total magnetic moment = 0.00 μB per cell
1.0
-5.0681 4.6963 5.4760
2.4530 -5.4927 6.9810
10.7463 8.3444 2.7894
Rb Br Er
8 20 4
Cartesian
0.0807 1.4416 7.0737
2.5523 9.8517 6.9693
8.0505 6.1064 8.1728
4.3986 0.3392 4.9183
3.7326 7.2088 10.3282
5.5789 -2.3037 8.2772
-1.0996 4.0845 3.7148
9.2308 3.4635 11.5317
1.1386 -1.7395 4.8900
2.4793 4.3185 8.0326
10.1976 3.1322 8.0047
8.5956 6.0107 4.7501
-2.0664 4.4158 7.2417
6.9926 9.2875 10.3564
-1.2335 0.6190 3.9617
3.1852 0.4790 8.3812
1.4853 6.5443 5.2037
2.0806 2.8965 4.5891
4.9460 7.0690 6.8652
6.6460 1.0037 10.0427
5.6519 3.2295 7.2138
-0.4644 1.5374 10.4964
5.9985 11.5133 7.5275
2.5022 4.1369 11.4993
5.6290 3.4111 3.7472
2.1327 -3.9653 7.7189
6.0506 4.6515 10.6573
9.3647 6.9290 11.2848
7.8224 8.5459 13.0989
0.3089 -0.9979 2.1475
3.8663 4.8569 5.5041
4.2650 2.6911 9.7423

# 3
Li2Cd3Br8 | Alexandria via LeMat-Bulk | PBE | optimized geometry; final energy = -2.575 eV per atom; total magnetic moment = 0.00 μB per cell
1.0
-2.8869 -5.2009 3.8369
3.6095 -5.6004 -4.8755
4.3895 4.5658 4.9954
Cd Br Li
3 8 2
Cartesian
-1.4434 -2.6004 1.9185
0.9448 -1.4659 -1.2762
2.6647 -4.1345 -3.5993
4.3056 -5.3834 2.3810
4.9625 -1.3852 1.5907
3.0652 1.5586 4.1534
2.0469 -7.7941 -0.1966
2.4233 -2.6395 4.8261
2.6888 -3.5959 -0.8693
0.1496 -4.8502 2.3662
0.8065 -0.8521 1.5758
3.0342 -0.7951 3.1596
2.0780 -5.4404 0.7972

# 4
Ce2Zn3Pd5 | Alexandria via LeMat-Bulk | PBE | optimized geometry; final energy = -4.766 eV per atom; total magnetic moment = 3.29 μB per cell; energy of formation = -6.00 eV per formula unit
1.0
5.5709 0.0000 0.0000
2.7854 8.3494 0.7229
2.7854 2.0021 8.1380
Pd Ce Zn
10 4 6
Cartesian
4.1782 5.1758 4.4304
5.5709 6.2712 1.5894
5.5709 4.0803 7.2715
6.9636 8.3802 7.1734
9.7491 8.3802 7.1734
6.9636 5.1758 4.4304
4.1782 1.9714 1.6875
2.7854 2.5377 5.9510
8.3563 7.8138 2.9099
1.3927 1.9714 1.6875
2.7855 5.2490 1.3980
5.5709 2.1909 4.9705
5.5709 8.1607 3.8903
8.3563 5.1025 7.4629
1.3927 0.0000 0.0000
5.5709 3.9676 2.5384
8.3563 7.2316 5.3324
4.1782 0.0000 0.0000
2.7854 3.1200 3.5285
5.5709 6.3840 6.3225

# 5
AgHgSe2 | Alexandria via LeMat-Bulk | PBE | optimized geometry; final energy = -2.480 eV per atom; total magnetic moment = 0.00 μB per cell
1.0
4.0106 0.0000 0.0000
0.0000 5.0459 -0.8402
0.0000 2.2535 4.2086
Hg Se Ag
1 2 1
Cartesian
2.0053 5.4745 2.5263
0.0000 3.5287 1.6223
0.0000 0.1210 0.0619
2.0053 1.8248 0.8421

# 6
Nd2SmAs | Alexandria via LeMat-Bulk | PBE | optimized geometry; final energy = -5.323 eV per atom; ΔE to the lowest computed polymorph = 0.000 eV per atom; total magnetic moment = 0.77 μB per cell; energy of formation = -2.39 eV per formula unit
1.0
4.0137 0.0000 0.0000
2.0069 3.4760 0.0000
2.0070 1.1587 9.5386
Nd As Sm
2 1 1
Cartesian
2.0070 1.1587 7.7532
2.0069 1.1587 1.7828
4.0136 2.3172 0.0047
4.0139 2.3174 4.7673

# 7
NbGeIr3 | Alexandria via LeMat-Bulk | PBE | optimized geometry; final energy = -7.244 eV per atom; ΔE to the lowest computed polymorph = 0.000 eV per atom; total magnetic moment = 0.00 μB per cell; energy of formation = 5.05 eV per formula unit
1.0
-2.0768 -4.0042 -0.2455
3.3357 -1.5700 -2.6106
2.2287 -1.3815 3.6785
Ir Nb Ge
3 1 1
Cartesian
1.6679 -0.7850 -1.3053
-1.0384 -2.0021 -0.1228
1.1144 -0.6907 1.8393
1.7438 -3.4779 0.4112
0.0000 0.0000 0.0000

# 8
KLa2Al | Alexandria via LeMat-Bulk | PBE | optimized geometry; final energy = -3.416 eV per atom; total magnetic moment = 0.00 μB per cell; energy of formation = 1.03 eV per formula unit
1.0
6.4483 0.0165 0.0000
2.6793 5.8653 0.0000
-4.5638 -2.9409 3.4790
K La Al
1 2 1
Cartesian
3.2241 0.0083 1.7395
1.3396 2.9327 1.7395
0.0000 0.0000 0.0000
4.5638 2.9409 0.0000

# 9
CePuZnGa | Alexandria via LeMat-Bulk | PBE | optimized geometry; final energy = -6.230 eV per atom; ΔE to the lowest computed polymorph = 0.158 eV per atom; total magnetic moment = 7.53 μB per cell; energy of formation = -0.35 eV per formula unit
1.0
-1.0400 2.7827 -4.3700
3.4165 -2.9823 -2.7121
-3.5058 -1.8992 2.8197
Ce Zn Ga Pu
1 1 1 1
Cartesian
-1.6788 0.3918 -2.5457
0.0000 0.0000 0.0000
0.5494 -2.4907 -1.7167
1.1882 -0.0998 -3.5410

# 10
MgBr2Cl | Alexandria via LeMat-Bulk | PBE | optimized geometry; final energy = -2.687 eV per atom; ΔE to the lowest computed polymorph = 0.000 eV per atom; total magnetic moment = 0.90 μB per cell
1.0
3.6759 0.0000 0.0000
0.0000 7.3191 0.1119
0.0000 5.3721 5.0055
Br Cl Mg
2 1 1
Cartesian
1.8379 3.7066 1.4913
0.0000 11.0725 4.4590
0.0000 7.7633 3.1389
1.8379 9.1854 3.7043

# 11
LaY2PdO | Alexandria via LeMat-Bulk | PBE | optimized geometry; final energy = -6.944 eV per atom; total magnetic moment = 0.00 μB per cell
1.0
4.6812 0.0000 0.0000
0.0000 4.6812 0.0000
0.0000 0.0000 5.0835
Y La O Pd
2 1 1 1
Cartesian
2.3406 0.0000 0.0000
0.0000 2.3406 0.0000
0.0000 0.0000 2.5417
0.0000 0.0000 0.0000
2.3406 2.3406 2.5417

# 12
ScZnSi2 | Alexandria via LeMat-Bulk | PBE | optimized geometry; final energy = -4.752 eV per atom; total magnetic moment = 0.00 μB per cell
1.0
4.7403 0.1426 0.0000
-1.2414 4.5771 0.0000
0.0000 0.0000 3.0320
Zn Si Sc
1 2 1
Cartesian
2.3701 0.0713 1.5160
0.0000 0.0000 0.0000
1.7494 2.3598 0.0000
-0.6207 2.2885 1.5160

# 13
ZrBeAs2 | Alexandria via LeMat-Bulk | PBE | optimized geometry; final energy = -5.357 eV per atom; total magnetic moment = 0.00 μB per cell; energy of formation = 0.15 eV per formula unit
1.0
4.9744 -0.0359 0.0317
4.0433 2.8979 0.0317
0.4412 0.1400 4.7452
Be As Zr
1 2 1
Cartesian
2.3647 0.7505 1.2022
4.6525 1.4765 2.3601
0.0769 0.0244 0.0442
7.0941 2.2514 3.6065

# 14
Li2Ca3Sn4 | Alexandria via LeMat-Bulk | PBE | optimized geometry; final energy = -3.395 eV per atom; total magnetic moment = 0.00 μB per cell; energy of formation = -4.71 eV per formula unit
1.0
4.6469 0.0000 0.0000
-2.3235 5.9069 -0.0147
0.0000 -2.4074 8.7299
Li Ca Sn
2 3 4
Cartesian
2.3234 1.3954 3.2285
0.0000 2.1041 5.4867
2.3235 -0.2220 6.0403
0.0000 0.0000 0.0000
0.0000 3.7215 2.6749
0.0000 1.2208 8.0901
2.3235 2.2787 0.6251
0.0000 -0.0062 3.5207
2.3235 3.5057 5.1944

# 15
BaPrCuO3 | Alexandria via LeMat-Bulk | PBE | optimized geometry; final energy = -6.597 eV per atom; total magnetic moment = 0.00 μB per cell
1.0
-1.0045 -3.5954 1.2634
6.8724 -0.3813 -1.7679
2.1795 2.2013 7.9974
O Pr Ba Cu
6 2 2 2
Cartesian
1.9258 -1.2690 4.0668
2.5923 1.3233 5.8272
6.1216 -0.5064 3.4260
1.0049 -2.1991 0.6877
5.4551 -3.0988 1.6656
7.0425 0.4237 6.8051
0.0000 0.0000 0.0000
1.0897 1.1006 3.9987
4.4566 -0.7877 1.3016
3.5908 -0.9877 6.1912
1.4531 -1.7299 2.3794
6.5943 -0.0455 5.1134

# 16
LiMnAgAs | Alexandria via LeMat-Bulk | PBE | optimized geometry; final energy = -4.767 eV per atom; total magnetic moment = 3.97 μB per cell; energy of formation = -0.48 eV per formula unit
1.0
4.4850 0.0000 0.0000
2.2425 3.8841 0.0000
2.2425 1.2947 3.6620
Mn As Ag Li
1 1 1 1
Cartesian
6.7274 3.8841 2.7465
4.4850 2.5894 1.8310
0.0000 0.0000 0.0000
2.2425 1.2947 0.9155

# 17
Li4Np3PtS8 | Alexandria via LeMat-Bulk | PBE | optimized geometry; final energy = -6.506 eV per atom; total magnetic moment = 3.43 μB per cell
1.0
7.4253 0.0000 0.0000
0.0000 7.5377 -0.0497
-3.7126 -3.8000 5.7899
Li S Np Pt
4 8 3 1
Cartesian
3.7126 0.0000 0.0000
1.8563 -1.9000 2.8950
0.0000 0.0000 0.0000
-1.8563 -1.9000 2.8950
3.7126 3.8600 2.7571
0.0000 3.7563 3.3253
0.0000 -0.1223 2.9832
-2.0687 1.7446 5.6474
5.7814 1.9931 0.0929
3.7126 -0.0185 2.4150
1.6439 1.9931 0.0929
2.0687 1.7446 5.6474
3.7126 3.7688 -0.0249
1.8563 1.8689 2.8701
-1.8563 1.8689 2.8701
0.0000 3.7688 -0.0249

# 18
Cu2PbF6 | Alexandria via LeMat-Bulk | PBE | optimized geometry; final energy = -4.331 eV per atom; ΔE to the lowest computed polymorph = 0.029 eV per atom; total magnetic moment = 4.00 μB per cell
1.0
-5.3793 -0.8188 0.0702
-0.8828 -7.4806 1.4432
-2.4645 3.3395 6.4494
F Pb Cu
12 2 4
Cartesian
-4.3882 -0.4078 6.3015
-1.6048 -2.5812 2.7939
-2.1066 -0.2287 1.5054
-4.1827 -3.6754 4.3444
-4.3383 -4.5520 1.6614
-4.1139 -3.0659 7.0034
-7.1218 -2.3787 5.1689
-6.6199 -4.7312 6.4575
-2.3939 0.9555 3.9850
-4.5438 -1.2845 3.6185
-4.6127 -1.8940 0.9594
-6.3326 -5.9153 3.9778
-5.1182 -6.7202 2.1318
-3.6084 1.7604 5.8311
-4.3705 -2.9102 2.5429
-1.9399 -0.7285 3.3278
-4.3561 -2.0497 5.4200
-6.7867 -4.2313 4.6351

# 19
NaScC | Alexandria via LeMat-Bulk | PBE | optimized geometry; final energy = -5.305 eV per atom; ΔE to the lowest computed polymorph = 0.463 eV per atom; total magnetic moment = 0.00 μB per cell; energy of formation = 0.96 eV per formula unit
1.0
-2.2458 3.1675 -1.6217
0.4637 -3.5764 -2.1683
-4.3103 -1.9127 2.2332
Na Sc C
2 2 2
Cartesian
-1.0839 -0.4810 0.5616
-3.2390 -1.4373 1.6782
-0.4923 -1.3518 -1.9587
-3.5506 -0.0602 -0.6599
-2.5355 -2.2585 -0.9001
-5.5938 -0.9669 0.3986

# 20
CdCl2 | Alexandria via LeMat-Bulk | PBE | optimized geometry; final energy = -2.624 eV per atom; total magnetic moment = 0.00 μB per cell
1.0
-1.8628 -4.8642 -4.2516
0.4690 -6.5148 -1.5946
-3.2755 -5.8244 -0.7439
Cd Cl
1 2
Cartesian
0.0000 0.0000 0.0000
-1.2020 -4.4286 -1.6964
-3.4674 -12.7748 -4.8936